# DyTaPb2O6, relaxed, DFT PBE
data_DyTaPb2O6
_symmetry_space_group_name_H-M 'P 1'
_symmetry_Int_Tables_number 1
_symmetry_space_group_name_Hall 'P 1'
_cell_length_a 5.194
_cell_length_b 5.299
_cell_length_c 5.625
_cell_angle_alpha 95.74
_cell_angle_beta 91.15
_cell_angle_gamma 103.78
loop_
_atom_site_label
_atom_site_type_symbol
_atom_site_fract_x
_atom_site_fract_y
_atom_site_fract_z
O1 O 0.305 0.301 0.261
Ta1 Ta 0.500 0.500 0.000
Pb1 Pb 0.708 0.289 0.530
Dy1 Dy 0.000 0.000 0.000
Pb2 Pb 0.292 0.711 0.470
O2 O 0.272 0.246 0.748
O3 O 0.251 0.726 0.031
O4 O 0.695 0.699 0.739
O5 O 0.749 0.274 0.969
O6 O 0.728 0.754 0.252
# symmetry = No. 2
# uncorrected energy = -0.27713 hartree per atom
# V = 149 Å³/cell